Below is CrCuMo2 after structural relaxation, with properties calculated at the PBE-GGA level.

Computed properties:
Relative energy among the computed polymorphs in meV per atom: 138
Crystal system: tetragonal
Uncorrected energy in eV/cell: -34.1
Formation energy in eV per atom: 0.31
D(E_F) in states/eV per atom: 1.14

abc: 2.612 2.612 8.301
angles: 90.00 90.00 90.00
Space group P4/mmm (No. 123)
Symmetry-distinct sites (fractional):
Cr  0.000  0.000  0.000 x1
Cu  0.000  0.000  0.500 x1
Mo  0.500  0.500  0.250 x2

Below is Cr3PtN after structural relaxation, with properties calculated at the PBE-GGA level.

Computed properties:
Relative energy among the computed polymorphs in meV per atom: 3011
Crystal system: cubic
Uncorrected energy in eV/cell: -29.9
Formation energy without anion corrections in meV per atom: 2667
D(E_F) in states/eV per atom: 2.39

abc: 4.591 4.591 4.591
angles: 90.00 90.00 90.00
Space group Pm-3m (No. 221)
Symmetry-distinct sites (fractional):
Cr  0.000  0.000  0.500 x3
Pt  0.000  0.000  0.000 x1
N  0.500  0.500  0.500 x1

Below is K2MgAlO after structural relaxation, with properties calculated at the PBE-GGA level.

Computed properties:
Crystal system: tetragonal
Uncorrected energy in eV/cell: -14.3
Formation energy without anion corrections in meV per atom: -362
D(E_F) in states/eV per atom: 0.48

abc: 7.137 7.137 3.545
angles: 90.00 90.00 90.00
Space group P4/mmm (No. 123)
Symmetry-distinct sites (fractional):
K  0.000  0.500  0.000 x2
Mg  0.000  0.000  0.500 x1
Al  0.500  0.500  0.000 x1
O  0.500  0.500  0.500 x1

Below is AlP2W after structural relaxation, with properties calculated at the PBE-GGA level.

Computed properties:
Crystal system: monoclinic
Uncorrected energy in eV/cell: -55.8
Formation energy in eV per atom: -0.10
D(E_F) in states/eV per atom: 0.40

abc: 8.950 3.221 4.202
angles: 90.00 90.36 90.00
Space group Cm (No. 8)
Symmetry-distinct sites (fractional):
Al  0.000  0.000  0.000 x2
P  0.238  0.500  0.982 x2
P  0.470  0.000  0.483 x2
W  0.180  0.000  0.512 x2

Looking at M_tot for the records above, in order, we have 0.272, 0.538, 0.000, 0.000 μB per atom.